# CdNiGeO4 (GGA+U, relaxed)
# Crystal system ... orthorhombic
# Magnetic moment ... 2.013 μB per formula unit
# Total DFT energy (no corrections) ... -5.295 eV/atom
data_CdNiGeO4
_chemical_formula_sum 'Cd4 Ni4 Ge4 O16'
_cell_length_a 5.6537
_cell_length_b 9.0799
_cell_length_c 6.6285
_cell_angle_alpha 90.00
_cell_angle_beta 90.00
_cell_angle_gamma 90.00
_space_group_name_H-M_alt 'C m c m'
_space_group_IT_number 63
_space_group_name_Hall '-C 2c 2'
loop_
_atom_site_label
_atom_site_type_symbol
_atom_site_fract_x
_atom_site_fract_y
_atom_site_fract_z
Cd1 Cd 0.0000 0.1740 0.2500
Ni1 Ni 0.0000 0.5000 0.0000
Ge1 Ge 0.0000 0.1581 0.7500
O1 O 0.0000 0.2780 0.5417
O2 O 0.2480 0.0317 0.7500